Record 1
Density functional theory data (PBE) for a relaxed Ce4Bi2S crystal.

Output
**Volume**: 32.03 Å³/atom
**Formation energy from raw total energies**: -0.8444 eV/atom
**Total moment**: 3.4 μB/cell

Unit cell a=5.186 b=5.186 c=9.108 alpha=106.54 beta=106.54 gamma=90.00
Element x y z (fractional)
Ce  0.500  0.000  0.000
Ce  0.000  0.500  0.000
Ce  0.835  0.835  0.671
Ce  0.165  0.165  0.329
Bi  0.638  0.638  0.276
Bi  0.362  0.362  0.724
S  0.000  0.000  0.000


Record 2
Density functional theory data (PBE) for a relaxed RbHoO2 crystal.

Output
**Volume**: 17.32 Å³/atom
**Formation energy from raw total energies**: -2.7113 eV/atom
**Total moment**: 0.0 μB/cell

Unit cell a=6.861 b=6.861 c=6.861 alpha=29.49 beta=29.49 gamma=29.49
Element x y z (fractional)
O  0.775  0.775  0.775
O  0.225  0.225  0.225
Rb  0.000  0.000  0.000
Ho  0.500  0.500  0.500


Question: What is the volume in the first record?
Answer: 32.03 Å³/atom


Question: Among the records above, which one has the highest total moment?
Answer: Ce4Bi2S